Entry 1:
TbHoTm: relaxed, PBE-GGA.

Results
* energy: -13.5 eV for the cell shown
* total magnetic moment: 0.000 μB per formula unit
* Fermi-level density of states: 1.7072 states/eV per atom
* energy above the lowest structure with this stoichiometry: 53 meV per atom

Cell lengths 3.427, 5.568, 5.568 Å; angles 120.00, 90.00, 90.00 degrees
Fractional coordinates of all 3 atoms:
Tm 0.166 0.667 0.333
Tb 0.667 0.333 0.667
Ho 0.167 0.000 0.000

---

Entry 2:
Tb4HoTm8: relaxed, PBE-GGA.

Results
* energy: -55.9 eV for the cell shown
* total magnetic moment: 0.000 μB per formula unit
* Fermi-level density of states: 1.3120 states/eV per atom

Cell lengths 7.222, 7.223, 9.857 Å; angles 90.00, 111.49, 120.00 degrees
Fractional coordinates of all 13 atoms:
Tm 0.500 0.250 0.305
Tm 0.056 0.250 0.305
Tm 0.500 0.750 0.695
Tm 0.056 0.806 0.305
Tm 0.432 0.216 0.649
Tm 0.944 0.194 0.695
Tm 0.568 0.784 0.351
Tm 0.944 0.750 0.695
Ho 0.000 0.500 0.500
Tb 0.000 0.000 0.000
Tb 0.500 0.500 0.000
Tb 0.000 0.500 0.000
Tb 0.500 0.000 0.000

---

no.,energy relative to the elements (meV/atom)
1,75.5
2,230.7